(1)
An optimized crystal structure of Ac6CoPdRh2, computed with GGA-PBE.

a = 7.4378 Å, b = 7.4378 Å, c = 20.6569 Å
α = 90.00°, β = 90.00°, γ = 120.00°
Last column: nearest neighbours and their distance in Å.
Space group R3 (No. 146, hexagonal axes)
Inequivalent atoms, fractional coordinates:
Ac1 0.0059 0.6589 0.0000 x9  1 Co 2.91, 2 Rh 3.00-3.04, 1 Pd 3.13
Ac2 0.0117 0.3397 0.1624 x9  1 Co 2.96, 2 Rh 2.99-3.04, 1 Pd 3.08
Co1 0.0000 0.0000 0.4123 x3  6 Ac 2.91-2.96
Pd1 0.0000 0.0000 0.9129 x3  6 Ac 3.08-3.13, 1 Rh 3.31
Rh1 0.0000 0.0000 0.2470 x3  6 Ac 3.00-3.04
Rh2 0.0000 0.0000 0.7524 x3  6 Ac 2.99-3.04, 1 Pd 3.31

---

(2)
An optimized crystal structure of SrAcTmMg, computed with GGA-PBE.

a = 8.3818 Å, b = 8.3818 Å, c = 8.3818 Å
α = 90.00°, β = 90.00°, γ = 90.00°
Last column: nearest neighbours and their distance in Å.
Space group F-43m (No. 216)
Inequivalent atoms, fractional coordinates:
Sr1 0.0000 0.0000 0.0000 x4  4 Tm 3.63, 4 Mg 3.63
Ac1 0.0000 0.0000 0.5000 x4  4 Mg 3.63, 4 Tm 3.63
Tm1 0.2500 0.2500 0.2500 x4  4 Ac 3.63, 4 Sr 3.63
Mg1 0.2500 0.2500 0.7500 x4  4 Ac 3.63, 4 Sr 3.63

---

(3)
An optimized crystal structure of Cu4AgPd4, computed with GGA-PBE.

a = 4.6729 Å, b = 4.6928 Å, c = 6.2002 Å
α = 74.35°, β = 81.61°, γ = 81.16°
Last column: nearest neighbours and their distance in Å.
Space group P-1 (No. 2)
Inequivalent atoms, fractional coordinates:
Cu1 0.0564 0.2645 0.3861 x2  4 Cu 2.59-2.88, 6 Pd 2.64-2.81, 2 Ag 2.74-2.75
Cu2 0.2734 0.3832 0.9537 x2  7 Pd 2.64-2.78, 4 Cu 2.66-2.80, 1 Ag 2.80
Ag1 0.5000 0.5000 0.5000 x1  6 Pd 2.73-2.75, 6 Cu 2.74-2.80
Pd1 0.1572 0.8149 0.1723 x2  7 Cu 2.64-2.75, 4 Pd 2.71-2.81, 1 Ag 2.74
Pd2 0.3913 0.9310 0.7313 x2  6 Cu 2.66-2.81, 4 Pd 2.71-2.83, 2 Ag 2.73-2.75

---

no.,electronic total energy (eV per formula unit)
1,-56.28
2,-11.39
3,-40.59